Computed, not measured: a geometry-optimized Tm2TiGa2Ru5 structure at the GGA-PBE level of DFT.

Cell lengths 9.9686, 9.9686, 3.3392 Å; angles 90.00, 90.00, 90.00 degrees
Element x y z (fractional)
Tm 0.1700 0.3300 0.0000
Tm 0.3300 0.8300 0.0000
Tm 0.6700 0.1700 0.0000
Tm 0.8300 0.6700 0.0000
Ti 0.0000 0.0000 0.0000
Ti 0.5000 0.5000 0.0000
Ga 0.1298 0.6298 0.0000
Ga 0.3702 0.1298 0.0000
Ga 0.6298 0.8702 0.0000
Ga 0.8702 0.3702 0.0000
Ru 0.0000 0.5000 0.5000
Ru 0.0666 0.8055 0.5000
Ru 0.1945 0.0666 0.5000
Ru 0.3055 0.5666 0.5000
Ru 0.4334 0.3055 0.5000
Ru 0.5000 0.0000 0.5000
Ru 0.5666 0.6945 0.5000
Ru 0.6945 0.4334 0.5000
Ru 0.8055 0.9334 0.5000
Ru 0.9334 0.1945 0.5000

## Properties
VASP energy = -7.340 eV per atom

Computed, not measured: a geometry-optimized LaPrGeAu structure at the GGA-PBE level of DFT.

Cell lengths 5.3197, 5.3197, 5.3197 Å; angles 60.00, 60.00, 60.00 degrees
Element x y z (fractional)
La 0.0000 0.0000 0.0000
Pr 0.5000 0.5000 0.5000
Ge 0.7500 0.7500 0.7500
Au 0.2500 0.2500 0.2500

## Properties
Energy relative to the lowest polymorph listed for this composition = 71.5 meV/atom
VASP energy = -5.132 eV per atom

Computed, not measured: a geometry-optimized TiGaB2Pd structure at the GGA-PBE level of DFT.

Cell lengths 4.2010, 4.2010, 4.8485 Å; angles 90.00, 90.00, 90.00 degrees
Element x y z (fractional)
Ti 0.0000 0.0000 0.0000
Ga 0.5000 0.5000 0.5000
B 0.0000 0.5000 0.0000
B 0.5000 0.0000 0.0000
Pd 0.0000 0.0000 0.5000

## Properties
Energy relative to the lowest polymorph listed for this composition = 0.0 meV/atom
VASP energy = -4.670 eV per atom

Computed, not measured: a geometry-optimized BaLa2Fe structure at the GGA-PBE level of DFT.

Cell lengths 6.6764, 6.6764, 6.6764 Å; angles 146.94, 120.69, 69.61 degrees
Element x y z (fractional)
Ba 0.0000 0.0000 0.0000
La 0.3358 0.8358 0.5000
La 0.6642 0.1642 0.5000
Fe 0.5000 0.5000 0.0000

## Properties
Energy relative to the lowest polymorph listed for this composition = 77.0 meV/atom
VASP energy = -4.821 eV per atom

Computed, not measured: a geometry-optimized LiCaCeI6 structure at the GGA-PBE level of DFT.

Cell lengths 7.7200, 7.7200, 14.2056 Å; angles 90.00, 90.00, 120.00 degrees
Element x y z (fractional)
Li 0.3333 0.6667 0.2500
Li 0.6667 0.3333 0.7500
Ca 0.0000 0.0000 0.0000
Ca 0.0000 0.0000 0.5000
Ce 0.3333 0.6667 0.7500
Ce 0.6667 0.3333 0.2500
I 0.0115 0.3462 0.1260
I 0.0115 0.6653 0.3740
I 0.3347 0.3462 0.3740
I 0.3347 0.9885 0.1260
I 0.3462 0.0115 0.6260
I 0.3462 0.3347 0.8740
I 0.6538 0.6653 0.1260
I 0.6538 0.9885 0.3740
I 0.6653 0.0115 0.8740
I 0.6653 0.6538 0.6260
I 0.9885 0.3347 0.6260
I 0.9885 0.6538 0.8740

## Properties
VASP energy = -3.487 eV per atom
Uncorrected formation energy = -1359 meV/atom

Computed, not measured: a geometry-optimized Na4AgSn structure at the GGA-PBE level of DFT.

Cell lengths 11.0577, 5.7019, 6.0069 Å; angles 90.00, 90.00, 90.00 degrees
Element x y z (fractional)
Na 0.0000 0.0178 0.0000
Na 0.0000 0.9815 0.4979
Na 0.2500 0.3773 0.4978
Na 0.2500 0.6227 0.9978
Na 0.5000 0.0185 0.9979
Na 0.5000 0.9822 0.5000
Na 0.7500 0.3773 0.4978
Na 0.7500 0.6227 0.9978
Ag 0.0000 0.4993 0.7488
Ag 0.5000 0.5007 0.2488
Sn 0.0000 0.4999 0.2485
Sn 0.5000 0.5001 0.7485

## Properties
Energy relative to the lowest polymorph listed for this composition = 26.4 meV/atom
VASP energy = -2.079 eV per atom

Computed, not measured: a geometry-optimized Pa2NiSe structure at the GGA-PBE level of DFT.

Cell lengths 9.5612, 9.5612, 9.5612 Å; angles 19.99, 19.99, 19.99 degrees
Element x y z (fractional)
Pa 0.0885 0.0885 0.0885
Pa 0.9115 0.9115 0.9115
Ni 0.0000 0.0000 0.0000
Se 0.5000 0.5000 0.5000

## Properties
Energy relative to the lowest polymorph listed for this composition = 670.8 meV/atom
VASP energy = -7.075 eV per atom
Uncorrected formation energy = -11 meV/atom

Computed, not measured: a geometry-optimized PrSmPa2As4 structure at the GGA-PBE level of DFT.

Cell lengths 7.2270, 7.2270, 7.2270 Å; angles 131.86, 131.86, 70.44 degrees
Element x y z (fractional)
Pr 0.0000 0.0000 0.0000
Sm 0.2500 0.7500 0.5000
Pa 0.5000 0.5000 0.0000
Pa 0.7500 0.2500 0.5000
As 0.2564 0.2564 0.0000
As 0.5047 0.0047 0.5000
As 0.7436 0.7436 0.0000
As 0.9953 0.4953 0.5000

## Properties
VASP energy = -7.153 eV per atom

| no. | total magnetization (Bohr magnetons per cell) | DOS at the Fermi energy (states/eV per atom) |
| --- | --- | --- |
| 1 | 0.003 | 1.052 |
| 2 | 0.903 | 0.726 |
| 3 | 0.000 | 0.892 |
| 4 | 0.000 | 1.254 |
| 5 | 2.000 | 0.901 |
| 6 | 0.000 | 0.152 |
| 7 | 0.000 | 1.047 |
| 8 | 1.178 | 1.180 |